(P)
Here is a geometry-optimized HfIn2Pd4 structure from Alexandria via LeMat-Bulk. Energies are from PBE.

abc: 5.7384 7.0567 7.2927
angles: 112.18 103.54 102.53
Closest atoms and distances in Å follow each position.
Space group P1 (No. 1)
Unique sites:
Hf1 0.0000 0.0000 0.0000 (multiplicity 1)  9 Pd 2.69-2.97
Hf2 0.3828 0.5619 0.8388 (multiplicity 1)  8 Pd 2.71-2.96
In1 0.3053 0.7875 0.2948 (multiplicity 1)  7 Pd 2.76-3.02, 2 In 2.86-2.89
In2 0.5412 0.1403 0.7748 (multiplicity 1)  9 Pd 2.80-2.98
In3 0.7841 0.3423 0.4678 (multiplicity 1)  8 Pd 2.67-2.99
In4 0.8210 0.8211 0.3084 (multiplicity 1)  8 Pd 2.80-3.11, 2 In 2.86-2.89
Pd1 0.0225 0.1635 0.7197 (multiplicity 1)  2 Hf 2.71-2.78, 4 In 2.80-2.96, 4 Pd 2.91-3.00
Pd2 0.1358 0.7615 0.6487 (multiplicity 1)  2 Hf 2.71-2.87, 4 In 2.79-3.02, 5 Pd 2.89-3.02
Pd3 0.2687 0.2274 0.4309 (multiplicity 1)  2 Hf 2.77-2.82, 4 In 2.81-3.07, 3 Pd 2.91-3.07
Pd4 0.4212 0.3952 0.1368 (multiplicity 1)  6 Pd 2.79-3.05, 2 Hf 2.82-2.91, 4 In 2.86-2.99
Pd5 0.5174 0.9982 0.0842 (multiplicity 1)  4 In 2.71-2.90, 3 Hf 2.73-2.97, 3 Pd 2.87-3.02
Pd6 0.6097 0.7121 0.6058 (multiplicity 1)  2 Hf 2.74-2.83, 4 In 2.82-2.98, 4 Pd 2.89-3.05
Pd7 0.8856 0.5663 0.8873 (multiplicity 1)  3 In 2.70-2.93, 3 Hf 2.73-2.96, 4 Pd 2.75-3.02
Pd8 0.9441 0.3906 0.1667 (multiplicity 1)  3 In 2.67-2.82, 1 Hf 2.69, 3 Pd 2.75-2.97

Values from the calculation:
As for the theoretical density: 11.07 g cm⁻³. As for the total moment: 0.000 μB per formula unit.

---

(Q)
Here is a geometry-optimized HfIn2Pd4 structure from Alexandria via LeMat-Bulk. Energies are from PBE.

abc: 4.8095 4.8095 11.6005
angles: 90.00 90.00 90.00
Closest atoms and distances in Å follow each position.
Space group I4/mmm (No. 139)
Unique sites:
Hf1 0.0000 0.0000 0.0000 (multiplicity 2)  8 Pd 2.79
In1 0.0000 0.0000 0.2702 (multiplicity 4)  8 Pd 2.71-2.96
Pd1 0.0000 0.5000 0.1217 (multiplicity 8)  4 In 2.71-2.96, 2 Hf 2.79, 2 Pd 2.82-2.98

Values from the calculation:
As for the theoretical density: 10.32 g cm⁻³. As for the total moment: 0.000 μB per formula unit.

---

The data favor (P); the next most stable structure lies 0.155 eV/atom above it.

---

(P)
Here is a geometry-optimized HfInPd5 structure from Alexandria via LeMat-Bulk. Energies are from PBE.

abc: 8.0963 10.1038 7.0639
angles: 90.00 119.58 90.00
Closest atoms and distances in Å follow each position.
Space group C2/c (No. 15)
Unique sites:
Hf1 0.0000 0.0416 0.2500 (multiplicity 4)  9 Pd 2.59-2.83
In1 0.0000 0.5000 0.0000 (multiplicity 4)  6 Pd 2.70-2.79
Pd1 0.0000 0.2980 0.2500 (multiplicity 4)  1 Hf 2.59, 4 Pd 2.67-2.81, 2 In 2.70
Pd2 0.1388 0.1616 0.6471 (multiplicity 8)  2 Hf 2.61-2.74, 5 Pd 2.67-2.90
Pd3 0.2477 0.3825 0.8992 (multiplicity 8)  2 In 2.71-2.79, 5 Pd 2.72-3.03, 2 Hf 2.81-2.83

Values from the calculation:
As for the theoretical density: 10.91 g cm⁻³. As for the total moment: 0.000 μB per formula unit.

---

(Q)
Here is a geometry-optimized HfInPd5 structure from Alexandria via LeMat-Bulk. Energies are from PBE.

abc: 4.6462 4.6462 5.8850
angles: 90.00 90.00 90.00
Closest atoms and distances in Å follow each position.
Space group P4/mmm (No. 123)
Unique sites:
Hf1 0.0000 0.0000 0.0000 (multiplicity 1)  10 Pd 2.72-2.94
In1 0.5000 0.5000 0.5000 (multiplicity 1)  8 Pd 2.78
Pd1 0.0000 0.0000 0.5000 (multiplicity 1)  8 Pd 2.78, 2 Hf 2.94
Pd2 0.0000 0.5000 0.2404 (multiplicity 4)  2 Hf 2.72, 2 In 2.78, 3 Pd 2.78-2.83

Values from the calculation:
As for the theoretical density: 10.79 g cm⁻³. As for the total moment: 0.000 μB per formula unit.

---

The data favor (Q); the next most stable structure lies 0.005 eV/atom above it.

---

(P)
Here is a geometry-optimized Pm2HfIn structure from Alexandria via LeMat-Bulk. Energies are from PBE.

abc: 3.3922 3.3922 9.7319
angles: 90.00 90.00 90.00
Closest atoms and distances in Å follow each position.
Space group P4/mmm (No. 123)
Unique sites:
Pm1 0.0000 0.0000 0.2501 (multiplicity 2)  4 Pm 3.39, 4 In 3.42, 4 Hf 3.42
Hf1 0.5000 0.5000 0.0000 (multiplicity 1)  4 Hf 3.39, 8 Pm 3.42
In1 0.5000 0.5000 0.5000 (multiplicity 1)  4 In 3.39, 8 Pm 3.42

Values from the calculation:
As for the theoretical density: 8.65 g cm⁻³. As for the total moment: 0.000 μB per formula unit.

---

(Q)
Here is a geometry-optimized Pm2HfIn structure from Alexandria via LeMat-Bulk. Energies are from PBE.

abc: 3.4048 3.4048 35.7641
angles: 90.00 90.00 120.00
Closest atoms and distances in Å follow each position.
Space group R-3m (No. 166, hexagonal axes)
Unique sites:
Pm1 0.0000 0.0000 0.0922 (multiplicity 6)  1 In 3.30, 3 Hf 3.31, 6 Pm 3.40
Hf1 0.0000 0.0000 0.5000 (multiplicity 3)  6 Pm 3.31, 6 Hf 3.40
In1 0.0000 0.0000 0.0000 (multiplicity 3)  2 Pm 3.30, 6 In 3.40

Values from the calculation:
As for the theoretical density: 8.09 g cm⁻³. As for the total moment: 0.000 μB per formula unit.

---

The data favor (P); the next most stable structure lies 0.269 eV/atom above it.

---

(P)
Here is a geometry-optimized HfInPtRh structure from Alexandria via LeMat-Bulk. Energies are from PBE.

abc: 4.2598 4.2598 7.6552
angles: 90.00 90.00 90.00
Closest atoms and distances in Å follow each position.
Space group I-4m2 (No. 119)
Unique sites:
Hf1 0.0000 0.0000 0.0000 (multiplicity 2)  4 Rh 2.86, 4 Pt 2.86, 4 In 3.01
In1 0.0000 0.0000 0.5000 (multiplicity 2)  4 Rh 2.86, 4 Pt 2.86, 4 Hf 3.01
Pt1 0.0000 0.5000 0.7500 (multiplicity 2)  4 In 2.86, 4 Hf 2.86, 4 Rh 3.01
Rh1 0.0000 0.5000 0.2500 (multiplicity 2)  4 Hf 2.86, 4 In 2.86, 4 Pt 3.01

Values from the calculation:
As for the theoretical density: 14.14 g cm⁻³. As for the total moment: 0.000 μB per formula unit.

---

(Q)
Here is a geometry-optimized HfInPtRh structure from Alexandria via LeMat-Bulk. Energies are from PBE.

abc: 6.5537 6.5537 6.5537
angles: 90.00 90.00 90.00
Closest atoms and distances in Å follow each position.
Space group F-43m (No. 216)
Unique sites:
Hf1 0.0000 0.0000 0.0000 (multiplicity 4)  4 Pt 2.84, 4 Rh 2.84
In1 0.0000 0.0000 0.5000 (multiplicity 4)  4 Rh 2.84, 4 Pt 2.84
Pt1 0.2500 0.2500 0.2500 (multiplicity 4)  4 Hf 2.84, 4 In 2.84
Rh1 0.2500 0.2500 0.7500 (multiplicity 4)  4 Hf 2.84, 4 In 2.84

Values from the calculation:
As for the theoretical density: 13.95 g cm⁻³. As for the total moment: 0.000 μB per formula unit.

---

The data favor (P); the next most stable structure lies 0.016 eV/atom above it.

---

(P)
Here is a geometry-optimized PuHf2In structure from Alexandria via LeMat-Bulk. Energies are from PBE.

abc: 4.6169 4.6169 4.2550
angles: 90.00 90.00 90.00
Closest atoms and distances in Å follow each position.
Space group P4/mmm (No. 123)
Unique sites:
Pu1 0.0000 0.0000 0.0000 (multiplicity 1)  8 Hf 3.14, 4 In 3.26
Hf1 0.0000 0.5000 0.5000 (multiplicity 2)  4 In 3.14, 4 Pu 3.14, 4 Hf 3.26
In1 0.5000 0.5000 0.0000 (multiplicity 1)  8 Hf 3.14, 4 Pu 3.26

Values from the calculation:
As for the theoretical density: 13.11 g cm⁻³. As for the total moment: 5.615 μB per formula unit.

---

(Q)
Here is a geometry-optimized PuHf2In structure from Alexandria via LeMat-Bulk. Energies are from PBE.

abc: 3.2467 3.2467 30.4599
angles: 90.00 90.00 120.00
Closest atoms and distances in Å follow each position.
Space group R-3m (No. 166, hexagonal axes)
Unique sites:
Pu1 0.0000 0.0000 0.0000 (multiplicity 3)  6 Hf 3.16, 6 Pu 3.25
Hf1 0.0000 0.0000 0.2498 (multiplicity 6)  3 In 3.15, 3 Pu 3.16, 6 Hf 3.25
In1 0.0000 0.0000 0.5000 (multiplicity 3)  6 Hf 3.15, 6 In 3.25

Values from the calculation:
As for the theoretical density: 12.82 g cm⁻³. As for the total moment: 5.336 μB per formula unit.

---

The data favor (P); the next most stable structure lies 0.074 eV/atom above it.

---

(P)
Here is a geometry-optimized PuHf2In structure from Alexandria via LeMat-Bulk. Energies are from PBE.

abc: 3.2584 3.2584 8.6432
angles: 90.00 90.00 90.00
Closest atoms and distances in Å follow each position.
Space group P4/mmm (No. 123)
Unique sites:
Pu1 0.0000 0.0000 0.0000 (multiplicity 1)  8 Hf 3.20, 4 Pu 3.26
Hf1 0.5000 0.5000 0.2573 (multiplicity 2)  4 In 3.12, 4 Pu 3.20, 4 Hf 3.26
In1 0.0000 0.0000 0.5000 (multiplicity 1)  8 Hf 3.12, 4 In 3.26

Values from the calculation:
As for the theoretical density: 12.95 g cm⁻³. As for the total moment: 5.260 μB per formula unit.

---

(Q)
Here is a geometry-optimized PuHf2In structure from Alexandria via LeMat-Bulk. Energies are from PBE.

abc: 7.1102 7.1102 7.1102
angles: 90.00 90.00 90.00
Closest atoms and distances in Å follow each position.
Space group Fm-3m (No. 225)
Unique sites:
Pu1 0.0000 0.0000 0.0000 (multiplicity 4)  8 Hf 3.08
Hf1 0.2500 0.2500 0.2500 (multiplicity 8)  4 In 3.08, 4 Pu 3.08
In1 0.0000 0.0000 0.5000 (multiplicity 4)  8 Hf 3.08

Values from the calculation:
As for the theoretical density: 13.23 g cm⁻³. As for the total moment: 6.446 μB per formula unit.

---

(R)
Here is a geometry-optimized PuHf2In structure from Alexandria via LeMat-Bulk. Energies are from PBE.

abc: 3.2334 3.2334 30.6540
angles: 90.00 90.00 120.00
Closest atoms and distances in Å follow each position.
Space group R3m (No. 160, hexagonal axes)
Unique sites:
Pu1 0.0000 0.0000 0.0000 (multiplicity 3)  6 Hf 3.17-3.19, 6 Pu 3.23
Hf1 0.0000 0.0000 0.5831 (multiplicity 3)  3 In 3.15, 3 Pu 3.17, 6 Hf 3.23
Hf2 0.0000 0.0000 0.7509 (multiplicity 3)  3 In 3.14, 3 Pu 3.19, 6 Hf 3.23
In1 0.0000 0.0000 0.1668 (multiplicity 3)  6 Hf 3.14-3.15, 6 In 3.23

Values from the calculation:
As for the theoretical density: 12.85 g cm⁻³. As for the total moment: 5.132 μB per formula unit.

---

The data favor (P); the next most stable structure lies 0.034 eV/atom above it.